Sm6Cu2Ru after structural relaxation. Source: Alexandria, functional PBE.

E_tot: -5.199 eV/atom

The structure in POSCAR format:
```
Sm6Cu2Ru
1.0
6.597 0.000 0.000
0.000 7.439 0.000
-6.382 0.000 10.275
Sm Cu Ru
12 4 2
direct
0.104 0.032 0.251
0.104 0.468 0.751
0.224 0.679 0.071
0.224 0.821 0.571
0.389 0.178 0.067
0.389 0.322 0.567
0.611 0.678 0.433
0.611 0.822 0.933
0.776 0.179 0.429
0.776 0.321 0.929
0.896 0.532 0.249
0.896 0.968 0.749
0.314 0.116 0.752
0.314 0.384 0.252
0.686 0.616 0.748
0.686 0.884 0.248
0.500 0.000 0.500
0.500 0.500 0.000
```


Sm8CuRu2 after structural relaxation. Source: Alexandria, functional PBE.

E_tot: -5.574 eV/atom

The structure in POSCAR format:
```
Sm8CuRu2
1.0
4.198 -6.401 0.000
4.198 6.401 0.000
-2.070 0.000 5.857
Sm Cu Ru
8 1 2
direct
0.000 0.000 0.000
0.015 0.281 0.592
0.152 0.580 0.191
0.281 0.015 0.592
0.440 0.706 0.803
0.580 0.152 0.191
0.706 0.440 0.803
0.725 0.725 0.391
0.363 0.363 0.010
0.049 0.671 0.700
0.671 0.049 0.700
```


SmCuRu after structural relaxation. Source: Alexandria, functional PBE.

energy above the lowest structure with this stoichiometry: 0.0 meV per atom
E_tot: -6.260 eV/atom

The structure in POSCAR format:
```
SmCuRu
1.0
-2.587 2.626 3.944
2.587 -2.626 3.944
2.587 2.626 -3.944
Sm Cu Ru
2 2 2
direct
0.378 0.128 0.250
0.622 0.872 0.750
0.000 0.000 0.500
0.000 0.500 0.000
0.000 0.500 0.500
0.500 0.500 0.000
```


SmThCuRu after structural relaxation. Source: Alexandria, functional PBE.

E_tot: -6.608 eV/atom

The structure in POSCAR format:
```
SmThCuRu
1.0
0.000 3.540 3.540
3.540 0.000 3.540
3.540 3.540 0.000
Sm Th Cu Ru
1 1 1 1
direct
0.000 0.000 0.000
0.500 0.500 0.500
0.750 0.750 0.750
0.250 0.250 0.250
```